Record 1
# Tm4Al2Cd, relaxed, DFT PBE-GGA
# - Energy relative to the elements: -147.7 kJ/mol of formula units
# - Space group: R-3m (166)
# - Energy above the lowest structure with this stoichiometry: 0.00 eV/f.u.
# - VASP energy: -3.9739 eV per atom
data_Tm4Al2Cd
_symmetry_space_group_name_H-M 'P 1'
_symmetry_Int_Tables_number 1
_cell_length_a 5.0647
_cell_length_b 5.0647
_cell_length_c 8.6654
_cell_angle_alpha 73.01
_cell_angle_beta 73.01
_cell_angle_gamma 60.00
loop_
_symmetry_equiv_pos_as_xyz
'x,y,z'
loop_
_atom_site_label
_atom_site_type_symbol
_atom_site_fract_x
_atom_site_fract_y
_atom_site_fract_z
_atom_site_occupancy
Cd1 Cd 0.0000 0.0000 0.0000 1
Tm1 Tm 0.3829 0.3829 0.8514 1
Tm2 Tm 0.8701 0.8701 0.3897 1
Tm3 Tm 0.1299 0.1299 0.6103 1
Tm4 Tm 0.6171 0.6171 0.1486 1
Al1 Al 0.2526 0.2526 0.2423 1
Al2 Al 0.7474 0.7474 0.7577 1

=====

Record 2
# Tm5AlCd2, relaxed, DFT PBE-GGA
# - Energy relative to the elements: -146.5 kJ/mol of formula units
# - Space group: I4/mcm (140)
# - VASP energy: -3.6811 eV per atom
data_Tm5AlCd2
_symmetry_space_group_name_H-M 'P 1'
_symmetry_Int_Tables_number 1
_cell_length_a 8.0684
_cell_length_b 8.0684
_cell_length_c 8.6617
_cell_angle_alpha 117.76
_cell_angle_beta 117.76
_cell_angle_gamma 90.00
loop_
_symmetry_equiv_pos_as_xyz
'x,y,z'
loop_
_atom_site_label
_atom_site_type_symbol
_atom_site_fract_x
_atom_site_fract_y
_atom_site_fract_z
_atom_site_occupancy
Cd1 Cd 0.3642 0.8642 0.0000 1
Cd2 Cd 0.1358 0.3642 0.0000 1
Cd3 Cd 0.8642 0.6358 0.0000 1
Cd4 Cd 0.6358 0.1358 0.0000 1
Tm1 Tm 0.0003 0.5003 0.6881 1
Tm2 Tm 0.6878 0.1878 0.6881 1
Tm3 Tm 0.1878 0.0003 0.6881 1
Tm4 Tm 0.9997 0.4997 0.3119 1
Tm5 Tm 0.0000 0.0000 0.0000 1
Tm6 Tm 0.4997 0.3122 0.3119 1
Tm7 Tm 0.8122 0.9997 0.3119 1
Tm8 Tm 0.3122 0.8122 0.3119 1
Tm9 Tm 0.5000 0.5000 0.0000 1
Tm10 Tm 0.5003 0.6878 0.6881 1
Al1 Al 0.2500 0.2500 0.5000 1
Al2 Al 0.7500 0.7500 0.5000 1

=====

Record 3
# Tm3Al3Cd, relaxed, DFT PBE-GGA
# - Energy relative to the elements: -242.5 kJ/mol of formula units
# - Space group: C2/m (12)
# - VASP energy: -4.0100 eV per atom
data_Tm3Al3Cd
_symmetry_space_group_name_H-M 'P 1'
_symmetry_Int_Tables_number 1
_cell_length_a 4.5122
_cell_length_b 5.9095
_cell_length_c 13.5646
_cell_angle_alpha 82.94
_cell_angle_beta 80.43
_cell_angle_gamma 67.56
loop_
_symmetry_equiv_pos_as_xyz
'x,y,z'
loop_
_atom_site_label
_atom_site_type_symbol
_atom_site_fract_x
_atom_site_fract_y
_atom_site_fract_z
_atom_site_occupancy
Tm1 Tm 0.4715 0.6807 0.3764 1
Tm2 Tm 0.7344 0.7470 0.7842 1
Tm3 Tm 0.2656 0.2530 0.2158 1
Tm4 Tm 0.3976 0.2829 0.9218 1
Tm5 Tm 0.5285 0.3193 0.6236 1
Tm6 Tm 0.6024 0.7171 0.0782 1
Al1 Al 0.1224 0.3059 0.4494 1
Al2 Al 0.1107 0.8511 0.9275 1
Al3 Al 0.9757 0.8206 0.2279 1
Al4 Al 0.0243 0.1794 0.7721 1
Al5 Al 0.8893 0.1489 0.0725 1
Al6 Al 0.8776 0.6941 0.5506 1
Cd1 Cd 0.7578 0.0906 0.3937 1
Cd2 Cd 0.2422 0.9094 0.6063 1

=====

Record 4
# Tm12Al3Cd, relaxed, DFT PBE-GGA
# - Energy relative to the elements: -260.0 kJ/mol of formula units
# - Space group: P4/mmm (123)
# - VASP energy: -4.2810 eV per atom
data_Tm12Al3Cd
_symmetry_space_group_name_H-M 'P 1'
_symmetry_Int_Tables_number 1
_cell_length_a 4.7129
_cell_length_b 4.7129
_cell_length_c 18.9007
_cell_angle_alpha 90.00
_cell_angle_beta 90.00
_cell_angle_gamma 90.00
loop_
_symmetry_equiv_pos_as_xyz
'x,y,z'
loop_
_atom_site_label
_atom_site_type_symbol
_atom_site_fract_x
_atom_site_fract_y
_atom_site_fract_z
_atom_site_occupancy
Tm1 Tm 0.5000 0.5000 0.7474 1
Tm2 Tm 0.5000 0.0000 0.1298 1
Tm3 Tm 0.0000 0.5000 0.8702 1
Tm4 Tm 0.5000 0.5000 0.2526 1
Tm5 Tm 0.5000 0.0000 0.3763 1
Tm6 Tm 0.0000 0.5000 0.6237 1
Tm7 Tm 0.5000 0.0000 0.8702 1
Tm8 Tm 0.0000 0.5000 0.1298 1
Tm9 Tm 0.5000 0.0000 0.6237 1
Tm10 Tm 0.5000 0.5000 0.0000 1
Tm11 Tm 0.0000 0.5000 0.3763 1
Tm12 Tm 0.5000 0.5000 0.5000 1
Al1 Al 0.0000 0.0000 0.7483 1
Al2 Al 0.0000 0.0000 0.2517 1
Al3 Al 0.0000 0.0000 0.5000 1
Cd1 Cd 0.0000 0.0000 0.0000 1

=====

Record 5
# Tm7Al4Cd, relaxed, DFT PBE-GGA
# - Energy relative to the elements: -113.3 kJ/mol of formula units
# - Space group: C2/m (12)
# - VASP energy: -4.0300 eV per atom
data_Tm7Al4Cd
_symmetry_space_group_name_H-M 'P 1'
_symmetry_Int_Tables_number 1
_cell_length_a 5.5263
_cell_length_b 8.8637
_cell_length_c 7.4124
_cell_angle_alpha 68.11
_cell_angle_beta 68.11
_cell_angle_gamma 71.84
loop_
_symmetry_equiv_pos_as_xyz
'x,y,z'
loop_
_atom_site_label
_atom_site_type_symbol
_atom_site_fract_x
_atom_site_fract_y
_atom_site_fract_z
_atom_site_occupancy
Al1 Al 0.5266 0.3316 0.6153 1
Al2 Al 0.4734 0.6684 0.3847 1
Al3 Al 0.6734 0.6576 0.9957 1
Al4 Al 0.3266 0.3424 0.0043 1
Tm1 Tm 0.2509 0.7158 0.7824 1
Tm2 Tm 0.1882 0.1322 0.4913 1
Tm3 Tm 0.8118 0.8678 0.5087 1
Tm4 Tm 0.5000 0.0000 0.0000 1
Tm5 Tm 0.7491 0.2842 0.2176 1
Tm6 Tm 0.9145 0.4318 0.7392 1
Tm7 Tm 0.0855 0.5682 0.2608 1
Cd1 Cd 0.0000 0.0000 0.0000 1

=====

Record 6
# Tm5Al2Cd, relaxed, DFT PBE-GGA
# - Energy relative to the elements: -120.8 kJ/mol of formula units
# - Space group: Cmcm (63)
# - Energy above the lowest structure with this stoichiometry: 0.84 eV/f.u.
# - VASP energy: -4.0012 eV per atom
data_Tm5Al2Cd
_symmetry_space_group_name_H-M 'P 1'
_symmetry_Int_Tables_number 1
_cell_length_a 4.4320
_cell_length_b 5.9282
_cell_length_c 16.7003
_cell_angle_alpha 90.00
_cell_angle_beta 90.00
_cell_angle_gamma 111.95
loop_
_symmetry_equiv_pos_as_xyz
'x,y,z'
loop_
_atom_site_label
_atom_site_type_symbol
_atom_site_fract_x
_atom_site_fract_y
_atom_site_fract_z
_atom_site_occupancy
Tm1 Tm 0.9548 0.9096 0.9002 1
Tm2 Tm 0.9548 0.9096 0.5998 1
Tm3 Tm 0.4587 0.9173 0.2500 1
Tm4 Tm 0.5413 0.0827 0.7500 1
Tm5 Tm 0.3417 0.6833 0.4570 1
Tm6 Tm 0.6583 0.3167 0.5430 1
Tm7 Tm 0.3417 0.6833 0.0430 1
Tm8 Tm 0.0452 0.0904 0.0998 1
Tm9 Tm 0.0452 0.0904 0.4002 1
Tm10 Tm 0.6583 0.3167 0.9570 1
Al1 Al 0.2375 0.4750 0.8421 1
Al2 Al 0.7625 0.5250 0.3421 1
Al3 Al 0.7625 0.5250 0.1579 1
Al4 Al 0.2375 0.4750 0.6579 1
Cd1 Cd 0.8180 0.6359 0.7500 1
Cd2 Cd 0.1820 0.3641 0.2500 1

=====

Record 7
# Tm2AlCd3, relaxed, DFT PBE-GGA
# - Energy relative to the elements: -180.3 kJ/mol of formula units
# - Space group: Fmmm (69)
# - VASP energy: -2.8833 eV per atom
data_Tm2AlCd3
_symmetry_space_group_name_H-M 'P 1'
_symmetry_Int_Tables_number 1
_cell_length_a 5.9253
_cell_length_b 5.9253
_cell_length_c 9.6674
_cell_angle_alpha 114.08
_cell_angle_beta 114.08
_cell_angle_gamma 70.63
loop_
_symmetry_equiv_pos_as_xyz
'x,y,z'
loop_
_atom_site_label
_atom_site_type_symbol
_atom_site_fract_x
_atom_site_fract_y
_atom_site_fract_z
_atom_site_occupancy
Cd1 Cd 0.8305 0.8305 0.6609 1
Cd2 Cd 0.1695 0.1695 0.3391 1
Cd3 Cd 0.8300 0.8300 0.1693 1
Cd4 Cd 0.1700 0.1700 0.8307 1
Cd5 Cd 0.6607 0.6607 0.8307 1
Cd6 Cd 0.3393 0.3393 0.1693 1
Tm1 Tm 0.7505 0.2495 0.0000 1
Tm2 Tm 0.7500 0.2500 0.5000 1
Tm3 Tm 0.2495 0.7505 0.0000 1
Tm4 Tm 0.2500 0.7500 0.5000 1
Al1 Al 0.6665 0.6665 0.3330 1
Al2 Al 0.3335 0.3335 0.6670 1

=====

Record 8
# TmAlCd, relaxed, DFT PBE-GGA
# - Energy relative to the elements: -54.0 kJ/mol of formula units
# - Space group: I4mm (107)
# - VASP energy: -3.2298 eV per atom
data_TmAlCd
_symmetry_space_group_name_H-M 'P 1'
_symmetry_Int_Tables_number 1
_cell_length_a 3.3076
_cell_length_b 3.3076
_cell_length_c 6.5116
_cell_angle_alpha 104.71
_cell_angle_beta 104.71
_cell_angle_gamma 90.00
loop_
_symmetry_equiv_pos_as_xyz
'x,y,z'
loop_
_atom_site_label
_atom_site_type_symbol
_atom_site_fract_x
_atom_site_fract_y
_atom_site_fract_z
_atom_site_occupancy
Al1 Al 0.2878 0.2878 0.5755 1
Cd1 Cd 0.9372 0.9372 0.8744 1
Tm1 Tm 0.6250 0.6250 0.2501 1

=====

Record 9
# Tm4Al2Cd, relaxed, DFT PBE-GGA
# - Energy relative to the elements: -24.7 kJ/mol of formula units
# - Space group: R-3m (166)
# - Energy above the lowest structure with this stoichiometry: 1.27 eV/f.u.
# - VASP energy: -3.7917 eV per atom
data_Tm4Al2Cd
_symmetry_space_group_name_H-M 'P 1'
_symmetry_Int_Tables_number 1
_cell_length_a 4.9915
_cell_length_b 4.9915
_cell_length_c 9.4876
_cell_angle_alpha 74.75
_cell_angle_beta 74.75
_cell_angle_gamma 60.00
loop_
_symmetry_equiv_pos_as_xyz
'x,y,z'
loop_
_atom_site_label
_atom_site_type_symbol
_atom_site_fract_x
_atom_site_fract_y
_atom_site_fract_z
_atom_site_occupancy
Tm1 Tm 0.7947 0.7947 0.6158 1
Tm2 Tm 0.3812 0.3812 0.8566 1
Tm3 Tm 0.6188 0.6188 0.1434 1
Tm4 Tm 0.2053 0.2053 0.3842 1
Al1 Al 0.0961 0.0961 0.7116 1
Al2 Al 0.9039 0.9039 0.2884 1
Cd1 Cd 0.0000 0.0000 0.0000 1

=====

Record 10
# Tm12AlCd3, relaxed, DFT PBE-GGA
# - Energy relative to the elements: -173.4 kJ/mol of formula units
# - Space group: P4/mmm (123)
# - VASP energy: -3.8715 eV per atom
data_Tm12AlCd3
_symmetry_space_group_name_H-M 'P 1'
_symmetry_Int_Tables_number 1
_cell_length_a 4.7616
_cell_length_b 4.7616
_cell_length_c 19.0655
_cell_angle_alpha 90.00
_cell_angle_beta 90.00
_cell_angle_gamma 90.00
loop_
_symmetry_equiv_pos_as_xyz
'x,y,z'
loop_
_atom_site_label
_atom_site_type_symbol
_atom_site_fract_x
_atom_site_fract_y
_atom_site_fract_z
_atom_site_occupancy
Tm1 Tm 0.0000 0.5000 0.1205 1
Tm2 Tm 0.5000 0.0000 0.6261 1
Tm3 Tm 0.5000 0.0000 0.1205 1
Tm4 Tm 0.5000 0.5000 0.0000 1
Tm5 Tm 0.5000 0.0000 0.8795 1
Tm6 Tm 0.0000 0.5000 0.6261 1
Tm7 Tm 0.0000 0.5000 0.8795 1
Tm8 Tm 0.5000 0.0000 0.3739 1
Tm9 Tm 0.5000 0.5000 0.5000 1
Tm10 Tm 0.5000 0.5000 0.7521 1
Tm11 Tm 0.0000 0.5000 0.3739 1
Tm12 Tm 0.5000 0.5000 0.2479 1
Al1 Al 0.0000 0.0000 0.0000 1
Cd1 Cd 0.0000 0.0000 0.2482 1
Cd2 Cd 0.0000 0.0000 0.5000 1
Cd3 Cd 0.0000 0.0000 0.7518 1

=====

Record 11
# Tm6AlCd2, relaxed, DFT PBE-GGA
# - Energy relative to the elements: -142.3 kJ/mol of formula units
# - Space group: Immm (71)
# - VASP energy: -3.7641 eV per atom
data_Tm6AlCd2
_symmetry_space_group_name_H-M 'P 1'
_symmetry_Int_Tables_number 1
_cell_length_a 8.5957
_cell_length_b 8.5957
_cell_length_c 8.5957
_cell_angle_alpha 110.88
_cell_angle_beta 110.29
_cell_angle_gamma 107.27
loop_
_symmetry_equiv_pos_as_xyz
'x,y,z'
loop_
_atom_site_label
_atom_site_type_symbol
_atom_site_fract_x
_atom_site_fract_y
_atom_site_fract_z
_atom_site_occupancy
Tm1 Tm 0.1945 0.2561 0.4505 1
Tm2 Tm 0.0824 0.2598 0.8226 1
Tm3 Tm 0.9176 0.7402 0.1774 1
Tm4 Tm 0.7370 0.0636 0.3266 1
Tm5 Tm 0.7370 0.4105 0.6734 1
Tm6 Tm 0.8055 0.2561 0.0616 1
Tm7 Tm 0.2630 0.5895 0.3266 1
Tm8 Tm 0.4372 0.2598 0.1774 1
Tm9 Tm 0.1945 0.7439 0.9384 1
Tm10 Tm 0.8055 0.7439 0.5495 1
Tm11 Tm 0.2630 0.9364 0.6734 1
Tm12 Tm 0.5628 0.7402 0.8226 1
Cd1 Cd 0.5000 0.3595 0.8595 1
Cd2 Cd 0.3572 0.0000 0.3572 1
Cd3 Cd 0.5000 0.6405 0.1405 1
Cd4 Cd 0.6428 0.0000 0.6428 1
Al1 Al 0.0000 0.0000 0.0000 1
Al2 Al 0.0000 0.5000 0.5000 1

=====

Please write out number 7 again, unchanged.
# Tm2AlCd3, relaxed, DFT PBE-GGA
# - Energy relative to the elements: -180.3 kJ/mol of formula units
# - Space group: Fmmm (69)
# - VASP energy: -2.8833 eV per atom
data_Tm2AlCd3
_symmetry_space_group_name_H-M 'P 1'
_symmetry_Int_Tables_number 1
_cell_length_a 5.9253
_cell_length_b 5.9253
_cell_length_c 9.6674
_cell_angle_alpha 114.08
_cell_angle_beta 114.08
_cell_angle_gamma 70.63
loop_
_symmetry_equiv_pos_as_xyz
'x,y,z'
loop_
_atom_site_label
_atom_site_type_symbol
_atom_site_fract_x
_atom_site_fract_y
_atom_site_fract_z
_atom_site_occupancy
Cd1 Cd 0.8305 0.8305 0.6609 1
Cd2 Cd 0.1695 0.1695 0.3391 1
Cd3 Cd 0.8300 0.8300 0.1693 1
Cd4 Cd 0.1700 0.1700 0.8307 1
Cd5 Cd 0.6607 0.6607 0.8307 1
Cd6 Cd 0.3393 0.3393 0.1693 1
Tm1 Tm 0.7505 0.2495 0.0000 1
Tm2 Tm 0.7500 0.2500 0.5000 1
Tm3 Tm 0.2495 0.7505 0.0000 1
Tm4 Tm 0.2500 0.7500 0.5000 1
Al1 Al 0.6665 0.6665 0.3330 1
Al2 Al 0.3335 0.3335 0.6670 1

=====

Look up the VASP energy of the fifth one. -4.0300 eV per atom